(1)
First-principles (GGA-PBE) data for crystalline Pm2SiNi at its relaxed geometry, as listed in Alexandria.

Cell: 5.034 5.034 5.034 Å, 60.00 60.00 60.00°
Fractional coordinates of all 4 atoms:
1 Ni 0.000 0.000 0.000
2 Si 0.500 0.500 0.500
3 Pm 0.250 0.250 0.250
4 Pm 0.750 0.750 0.750

Crystal system: cubic
Space group: Fm-3m, No. 225
Energy above the lowest structure with this stoichiometry: 181 meV/atom
Calculated density: 6.937 g/cm³

***

(2)
First-principles (GGA-PBE) data for crystalline Pm8SiNi2 at its relaxed geometry, as listed in Alexandria.

Cell: 6.308 7.631 7.631 Å, 113.83 100.16 100.16°
Fractional coordinates of all 11 atoms:
1 Pm 0.581 0.345 0.081
2 Pm 0.581 0.081 0.345
3 Pm 0.178 0.370 0.370
4 Pm 0.975 0.213 0.785
5 Pm 0.975 0.785 0.213
6 Pm 0.805 0.649 0.649
7 Pm 0.366 0.921 0.653
8 Pm 0.366 0.653 0.921
9 Si 0.179 0.007 0.007
10 Ni 0.496 0.694 0.315
11 Ni 0.496 0.315 0.694

Crystal system: monoclinic
Space group: Cm, No. 8
Calculated density: 6.818 g/cm³
Electronic total energy: -0.188 Ha/atom

***

(3)
First-principles (GGA-PBE) data for crystalline Pm2SiNi3 at its relaxed geometry, as listed in Alexandria.

Cell: 4.017 3.972 7.605 Å, 105.14 105.31 90.00°
Fractional coordinates of all 6 atoms:
1 Pm 0.127 0.127 0.254
2 Pm 0.870 0.370 0.740
3 Si 0.460 0.960 0.921
4 Ni 0.707 0.707 0.415
5 Ni 0.538 0.538 0.077
6 Ni 0.297 0.797 0.594

Crystal system: orthorhombic
Space group: Imm2, No. 44
Calculated density: 7.283 g/cm³
Electronic total energy: -0.217 Ha/atom

***

(4)
First-principles (GGA-PBE) data for crystalline Pm2SmSi2Ni2 at its relaxed geometry, as listed in Alexandria.

Cell: 4.053 4.053 11.555 Å, 79.90 79.90 60.00°
Fractional coordinates of all 7 atoms:
1 Pm 0.115 0.115 0.654
2 Pm 0.885 0.885 0.346
3 Sm 0.000 0.000 0.000
4 Si 0.727 0.727 0.820
5 Si 0.273 0.273 0.180
6 Ni 0.606 0.606 0.181
7 Ni 0.394 0.394 0.819

Crystal system: trigonal
Space group: R-3m, No. 166
Calculated density: 6.334 g/cm³
Electronic total energy: -0.215 Ha/atom

***

(5)
First-principles (GGA-PBE) data for crystalline PmSm2Si2Ni2 at its relaxed geometry, as listed in Alexandria.

Cell: 4.051 4.051 11.516 Å, 79.87 79.87 60.00°
Fractional coordinates of all 7 atoms:
1 Pm 0.000 0.000 0.000
2 Sm 0.116 0.116 0.653
3 Sm 0.884 0.884 0.347
4 Si 0.728 0.728 0.817
5 Si 0.272 0.272 0.183
6 Ni 0.606 0.606 0.183
7 Ni 0.394 0.394 0.817

Crystal system: trigonal
Space group: R-3m, No. 166
Calculated density: 6.416 g/cm³
Electronic total energy: -0.215 Ha/atom

***

(6)
First-principles (GGA-PBE) data for crystalline Pm2Si3Ni4Sn at its relaxed geometry, as listed in Alexandria.

Cell: 4.115 4.115 9.801 Å, 90.00 90.00 90.00°
Fractional coordinates of all 10 atoms:
1 Pm 0.500 0.000 0.237
2 Pm 0.000 0.500 0.763
3 Si 0.000 0.000 0.500
4 Si 0.500 0.000 0.881
5 Si 0.000 0.500 0.119
6 Ni 0.500 0.500 0.000
7 Ni 0.000 0.000 0.000
8 Ni 0.500 0.000 0.644
9 Ni 0.000 0.500 0.356
10 Sn 0.500 0.500 0.500

Crystal system: tetragonal
Space group: P-4m2, No. 115
Calculated density: 7.283 g/cm³
Electronic total energy: -0.220 Ha/atom

***

(7)
First-principles (GGA-PBE) data for crystalline Pm3Si2Ni9Sn at its relaxed geometry, as listed in Alexandria.

Cell: 5.906 5.906 8.858 Å, 90.00 90.00 120.00°
Fractional coordinates of all 15 atoms:
1 Pm 0.333 0.667 0.691
2 Pm 0.000 0.000 0.000
3 Pm 0.667 0.333 0.309
4 Si 0.333 0.667 0.168
5 Si 0.667 0.333 0.832
6 Ni 0.859 0.141 0.732
7 Ni 0.859 0.719 0.732
8 Ni 0.281 0.141 0.732
9 Ni 0.719 0.859 0.268
10 Ni 0.141 0.281 0.268
11 Ni 0.141 0.859 0.268
12 Ni 0.500 0.000 0.000
13 Ni 0.000 0.500 0.000
14 Ni 0.500 0.500 0.000
15 Sn 0.000 0.000 0.500

Crystal system: trigonal
Space group: P-3m1, No. 164
Calculated density: 7.063 g/cm³
Electronic total energy: -0.209 Ha/atom

***

(8)
First-principles (GGA-PBE) data for crystalline Tb2PmSi2Ni2 at its relaxed geometry, as listed in Alexandria.

Cell: 4.166 4.166 10.005 Å, 77.98 77.98 60.00°
Fractional coordinates of all 7 atoms:
1 Tb 0.123 0.123 0.632
2 Tb 0.877 0.877 0.368
3 Pm 0.000 0.000 0.000
4 Si 0.736 0.736 0.792
5 Si 0.264 0.264 0.208
6 Ni 0.600 0.600 0.200
7 Ni 0.400 0.400 0.800

Crystal system: trigonal
Space group: R-3m, No. 166
Calculated density: 7.239 g/cm³
Electronic total energy: -0.214 Ha/atom